Computed, not measured: Ac4Pa3TaN8 after structural relaxation at the GGA-PBE level of DFT.

Structure (extended XYZ):
```
16
Lattice="-1.294 5.021 -4.882 -7.118 -1.908 -0.076 3.025 1.760 6.202" Properties=species:S:1:pos:R:3 pbc="T T T"
N -1.563 4.304 -0.353
N -2.232 1.493 4.859
N -0.943 1.718 2.016
N -2.913 4.134 2.292
Ac 0.866 3.390 0.660
Pa -4.206 1.556 -2.479
Pa -2.693 2.436 0.622
Ta -3.559 -0.954 -0.038
N -4.444 3.154 -0.772
Ac 0.000 0.000 0.000
N -3.823 0.568 1.597
Ac -0.647 2.510 -2.441
N -2.474 0.738 -1.047
N -3.154 3.379 -3.615
Ac 1.513 0.880 3.101
Pa -2.046 -0.074 3.063
```

Energy relative to the elements, uncorrected = -1316 meV per atom
Total energy = -9.0274 eV per atom
SG = R-3m (166)
Total moment = 0.0000 μB per atom
Volume = 16.79 A^3/atom



Computed, not measured: Ac2TbPaN4 after structural relaxation at the GGA-PBE level of DFT.

Structure (extended XYZ):
```
8
Lattice="-0.900 2.256 2.733 -6.033 -1.293 -0.918 2.409 -4.269 4.317" Properties=species:S:1:pos:R:3 pbc="T T T"
N -1.304 -0.008 2.023
N -3.220 -3.298 4.109
Ac 0.755 -1.006 3.525
N 0.430 -3.707 3.202
Tb -3.466 0.482 0.907
N -4.055 -1.855 0.197
Ac -1.812 -2.781 1.699
Pa 0.000 0.000 0.000
```

Energy relative to the elements, uncorrected = -1396 meV per atom
Total energy = -8.3514 eV per atom
SG = P2/m (10)
Total moment = 0.0000 μB per atom
Volume = 17.65 A^3/atom



Computed, not measured: Ac2TbPaN5 after structural relaxation at the GGA-PBE level of DFT.

Structure (extended XYZ):
```
9
Lattice="4.232 0.000 0.000 0.000 4.232 0.000 0.000 0.000 9.249" Properties=species:S:1:pos:R:3 pbc="T T T"
Ac 2.116 2.116 6.742
N 0.000 0.000 2.266
Pa 0.000 0.000 4.625
N 0.000 0.000 6.984
N 2.116 2.116 0.000
N 2.116 0.000 4.625
Ac 2.116 2.116 2.507
N 0.000 2.116 4.625
Tb 0.000 0.000 0.000
```

Energy relative to the elements, uncorrected = -1134 meV per atom
Total energy = -8.2422 eV per atom
SG = P4/mmm (123)
Total moment = 0.0273 μB per atom
Volume = 18.41 A^3/atom



Computed, not measured: AcTbPaN3 after structural relaxation at the GGA-PBE level of DFT.

Structure (extended XYZ):
```
12
Lattice="3.611 0.000 0.000 0.000 6.145 0.150 0.000 -2.252 9.140" Properties=species:S:1:pos:R:3 pbc="T T T"
N 2.708 -0.105 1.221
Tb 0.903 -0.600 5.868
N 2.708 0.338 4.583
Pa 2.708 -0.705 8.769
N 0.903 3.999 8.069
N 0.903 3.556 4.707
N 2.708 3.084 1.320
Tb 2.708 4.493 3.422
Ac 2.708 2.438 6.404
Ac 0.903 1.456 2.886
N 0.903 0.810 7.971
Pa 0.903 4.599 0.521
```

Energy relative to the elements, uncorrected = -1391 meV per atom
Total energy = -8.5927 eV per atom
SG = P2_1/m (11)
Total moment = 0.0000 μB per atom
Volume = 17.00 A^3/atom



Computed, not measured: Ac2PaTcN5 after structural relaxation at the GGA-PBE level of DFT.

Structure (extended XYZ):
```
9
Lattice="3.951 0.000 0.000 0.000 3.951 0.000 0.000 0.000 8.941" Properties=species:S:1:pos:R:3 pbc="T T T"
Ac 1.975 1.975 6.323
N 1.975 1.975 0.000
Pa 0.000 0.000 0.000
N 0.000 0.000 6.846
N 0.000 1.975 4.471
N 0.000 0.000 2.095
Ac 1.975 1.975 2.619
Tc 0.000 0.000 4.471
N 1.975 0.000 4.471
```

Energy relative to the elements, uncorrected = -1061 meV per atom
Total energy = -8.8062 eV per atom
SG = P4/mmm (123)
Total moment = 0.0000 μB per atom
Volume = 15.51 A^3/atom



Computed, not measured: AcPa4Tc3N12 after structural relaxation at the GGA-PBE level of DFT.

Structure (extended XYZ):
```
20
Lattice="7.162 0.000 0.000 -2.387 6.753 0.000 -2.387 -3.376 5.848" Properties=species:S:1:pos:R:3 pbc="T T T"
N 2.293 1.609 0.943
Pa 1.194 1.688 2.924
N 4.869 -0.012 1.865
N -0.753 2.166 1.865
Pa -1.194 3.376 0.000
N 3.140 1.210 3.982
N -1.634 -0.678 4.905
N 0.094 1.767 4.905
Pa -1.194 -1.688 2.924
Pa 3.581 0.000 0.000
N -2.481 3.388 3.982
Tc 2.387 -1.688 2.924
N -0.094 5.131 0.922
Tc -2.387 1.688 2.924
N 4.022 4.054 0.943
Ac 0.000 0.000 0.000
N 2.481 -1.755 4.926
N 1.634 3.909 3.039
Tc 2.387 3.376 0.000
N 0.753 -0.532 2.809
```

Energy relative to the elements, uncorrected = -661 meV per atom
Total energy = -9.3154 eV per atom
SG = Im-3 (204)
Total moment = 0.1729 μB per atom
Volume = 14.14 A^3/atom



> Which formula does entry 2 have?

Ac2TbPaN4



> volume of number 6 (AcPa4Tc3N12)?

14.14 A^3/atom



> The lowest total energy belongs to which entry?

AcPa4Tc3N12



> Among the records above, which one has the lowest energy relative to the elements, uncorrected?

Ac2TbPaN4